(1)
VASP calculation (GGA-PBE) on an optimized crystal structure of KTl5Hg4.

Calculated values
DFT formation energy (eV/atom): -0.058
DOS(E_F) (states/eV/cell): 9.0
Total magnetic moment (μB per formula unit): 0.0
Uncorrected energy (eV per cell): -29.4

Cell and atoms, written as CIF:
```
data_KTl5Hg4
_chemical_formula_sum 'K2 Tl10 Hg8'
_cell_length_a 15.4248
_cell_length_b 5.3824
_cell_length_c 7.6312
_cell_angle_alpha 90.00
_cell_angle_beta 104.48
_cell_angle_gamma 90.00
_space_group_name_H-M_alt 'C 1 2/m 1'
_space_group_IT_number 12
loop_
_space_group_symop_operation_xyz
'x,y,z'
'-x,-y,-z'
'-x,y,-z'
'x,-y,z'
'x+1/2,y+1/2,z'
'-x+1/2,-y+1/2,-z'
'-x+1/2,y+1/2,-z'
'x+1/2,-y+1/2,z'
loop_
_atom_site_label
_atom_site_fract_x
_atom_site_fract_y
_atom_site_fract_z
_atom_site_occupancy
K1 0.0000 0.0000 0.0000 1
Tl1 0.0000 0.0000 0.5000 1
Tl2 0.1056 0.5000 0.7345 1
Tl3 0.2260 0.0000 0.8565 1
Hg1 0.0976 0.5000 0.2768 1
Hg2 0.1971 0.0000 0.3942 1
```



(2)
VASP calculation (GGA-PBE) on an optimized crystal structure of Tb4NdSm2Dy2.

Calculated values
DFT formation energy (eV/atom): 0.017
DOS(E_F) (states/eV/cell): 25.4
Total magnetic moment (μB per formula unit): 0.0
Uncorrected energy (eV per cell): -83.6

Cell and atoms, written as CIF:
```
data_Tb4NdSm2Dy2
_chemical_formula_sum 'Tb8 Nd2 Sm4 Dy4'
_cell_length_a 15.2135
_cell_length_b 5.0698
_cell_length_c 8.0074
_cell_angle_alpha 90.00
_cell_angle_beta 108.49
_cell_angle_gamma 90.00
_space_group_name_H-M_alt 'C 1 2/m 1'
_space_group_IT_number 12
loop_
_space_group_symop_operation_xyz
'x,y,z'
'-x,-y,-z'
'-x,y,-z'
'x,-y,z'
'x+1/2,y+1/2,z'
'-x+1/2,-y+1/2,-z'
'-x+1/2,y+1/2,-z'
'x+1/2,-y+1/2,z'
loop_
_atom_site_label
_atom_site_fract_x
_atom_site_fract_y
_atom_site_fract_z
_atom_site_occupancy
Tb1 0.0562 0.0000 0.3335 1
Tb2 0.2220 0.5000 0.3326 1
Nd1 0.0000 0.5000 0.0000 1
Sm1 0.1113 0.5000 0.6655 1
Dy1 0.1677 0.0000 0.0002 1
```



(3)
VASP calculation (GGA-PBE) on an optimized crystal structure of SmBRh4.

Calculated values
DFT formation energy (eV/atom): -0.020
DOS(E_F) (states/eV/cell): 12.4
Total magnetic moment (μB per formula unit): 0.0
Uncorrected energy (eV per cell): -81.8

Cell and atoms, written as CIF:
```
data_SmBRh4
_chemical_formula_sum 'Sm2 B2 Rh8'
_cell_length_a 5.0805
_cell_length_b 5.0805
_cell_length_c 8.2716
_cell_angle_alpha 90.00
_cell_angle_beta 90.00
_cell_angle_gamma 90.00
_space_group_name_H-M_alt 'P 42/n m c'
_space_group_IT_number 137
loop_
_space_group_symop_operation_xyz
'x,y,z'
'-x,-y,-z'
'-y+1/2,x,z+1/2'
'y+1/2,-x,-z+1/2'
'-x+1/2,-y+1/2,z'
'x+1/2,y+1/2,-z'
'y,-x+1/2,z+1/2'
'-y,x+1/2,-z+1/2'
'x+1/2,-y,-z'
'-x+1/2,y,z'
'-y,-x,-z+1/2'
'y,x,z+1/2'
'-x,y+1/2,-z'
'x,-y+1/2,z'
'y+1/2,x+1/2,-z+1/2'
'-y+1/2,-x+1/2,z+1/2'
loop_
_atom_site_label
_atom_site_fract_x
_atom_site_fract_y
_atom_site_fract_z
_atom_site_occupancy
Sm1 0.2500 0.7500 0.2500 1
B1 0.2500 0.7500 0.7500 1
Rh1 0.0054 0.2500 0.0588 1
```



(4)
VASP calculation (GGA-PBE) on an optimized crystal structure of Ce2Ta2O9.

Calculated values
Formation energy from raw total energies (eV/atom): -3.08
Total magnetic moment (μB per formula unit): 0.0
Uncorrected energy (eV per cell): -240.3

Cell and atoms, written as CIF:
```
data_Ce2Ta2O9
_chemical_formula_sum 'Ce4 Ta4 O18'
_cell_length_a 6.5054
_cell_length_b 3.8603
_cell_length_c 15.6140
_cell_angle_alpha 90.00
_cell_angle_beta 113.41
_cell_angle_gamma 90.00
_space_group_name_H-M_alt 'P 1 21/c 1'
_space_group_IT_number 14
loop_
_space_group_symop_operation_xyz
'x,y,z'
'-x,-y,-z'
'-x,y+1/2,-z+1/2'
'x,-y+1/2,z+1/2'
loop_
_atom_site_label
_atom_site_fract_x
_atom_site_fract_y
_atom_site_fract_z
_atom_site_occupancy
Ce1 0.2029 0.0020 0.2173 1
Ta1 0.2614 0.5011 0.0412 1
O1 0.0145 0.9996 0.4177 1
O2 0.1513 0.5020 0.2825 1
O3 0.2524 0.0008 0.0602 1
O4 0.4296 0.5011 0.1814 1
O5 0.5000 0.0000 0.5000 1
```



(5)
VASP calculation (GGA-PBE) on an optimized crystal structure of SbAsPt2.

Calculated values
Formation energy from raw total energies (eV/atom): -0.06
Offset from the most stable computed form (eV per formula unit): 1.17
DOS(E_F) (states/eV/cell): 2.5
Total magnetic moment (μB per formula unit): 0.0
Uncorrected energy (eV per cell): -42.2

Cell and atoms, written as CIF:
```
data_SbAsPt2
_chemical_formula_sum 'Sb2 As2 Pt4'
_cell_length_a 4.5934
_cell_length_b 4.5934
_cell_length_c 6.9256
_cell_angle_alpha 90.00
_cell_angle_beta 90.00
_cell_angle_gamma 90.00
_space_group_name_H-M_alt 'I 4/m m m'
_space_group_IT_number 139
_space_group_name_Hall '-I 4 2'
loop_
_atom_site_label
_atom_site_fract_x
_atom_site_fract_y
_atom_site_fract_z
_atom_site_occupancy
Sb1 0.0000 0.0000 0.0000 1
As1 0.0000 0.0000 0.5000 1
Pt1 0.0000 0.5000 0.2500 1
```



(6)
VASP calculation (GGA-PBE) on an optimized crystal structure of CrHg2Ru.

Calculated values
Offset from the most stable computed form (eV per formula unit): 0.99
DFT formation energy (eV/atom): 0.543
DOS(E_F) (states/eV/cell): 8.6
Total magnetic moment (μB per formula unit): 3.0
Uncorrected energy (eV per cell): -34.7

Cell and atoms, written as CIF:
```
data_CrHg2Ru
_chemical_formula_sum 'Cr2 Hg4 Ru2'
_cell_length_a 4.1107
_cell_length_b 4.1107
_cell_length_c 8.2921
_cell_angle_alpha 90.00
_cell_angle_beta 90.00
_cell_angle_gamma 90.00
_space_group_name_H-M_alt 'I -4 m 2'
_space_group_IT_number 119
_space_group_name_Hall 'I -4 -2'
loop_
_atom_site_label
_atom_site_fract_x
_atom_site_fract_y
_atom_site_fract_z
_atom_site_occupancy
Cr1 0.0000 0.0000 0.0000 1
Hg1 0.0000 0.0000 0.5000 1
Hg2 0.0000 0.5000 0.7500 1
Ru1 0.0000 0.5000 0.2500 1
```



(7)
VASP calculation (GGA-PBE) on an optimized crystal structure of PrDySi2Pt2.

Calculated values
Formation energy from raw total energies (eV/atom): -1.13
DOS(E_F) (states/eV/cell): 4.6
Total magnetic moment (μB per formula unit): 0.0
Uncorrected energy (eV per cell): -39.1

Cell and atoms, written as CIF:
```
data_PrDySi2Pt2
_chemical_formula_sum 'Pr1 Dy1 Si2 Pt2'
_cell_length_a 4.1699
_cell_length_b 4.1699
_cell_length_c 8.3613
_cell_angle_alpha 90.00
_cell_angle_beta 90.00
_cell_angle_gamma 120.00
_space_group_name_H-M_alt 'P -3 m 1'
_space_group_IT_number 164
_space_group_name_Hall '-P 3 2"'
loop_
_atom_site_label
_atom_site_fract_x
_atom_site_fract_y
_atom_site_fract_z
_atom_site_occupancy
Pr1 0.0000 0.0000 0.0000 1
Dy1 0.0000 0.0000 0.5000 1
Si1 0.3333 0.6667 0.2569 1
Pt1 0.3333 0.6667 0.7349 1
```



(8)
VASP calculation (GGA-PBE) on an optimized crystal structure of BeHgS2.

Calculated values
Formation energy from raw total energies (eV/atom): -0.29
Offset from the most stable computed form (eV per formula unit): 1.08
DOS(E_F) (states/eV/cell): 0.0
Total magnetic moment (μB per formula unit): 0.0
Uncorrected energy (eV per cell): -13.4

Cell and atoms, written as CIF:
```
data_BeHgS2
_chemical_formula_sum 'Be1 Hg1 S2'
_cell_length_a 3.7930
_cell_length_b 3.7930
_cell_length_c 6.1949
_cell_angle_alpha 90.00
_cell_angle_beta 90.00
_cell_angle_gamma 120.00
_space_group_name_H-M_alt 'P 3 m 1'
_space_group_IT_number 156
loop_
_space_group_symop_operation_xyz
'x,y,z'
'-y,x-y,z'
'-x+y,-x,z'
'-y,-x,z'
'-x+y,y,z'
'x,x-y,z'
loop_
_atom_site_label
_atom_site_fract_x
_atom_site_fract_y
_atom_site_fract_z
_atom_site_occupancy
Be1 0.0000 0.0000 0.0000 1
Hg1 0.6667 0.3333 0.5359 1
S1 0.0000 0.0000 0.3324 1
S2 0.3333 0.6667 0.8945 1
```



(9)
VASP calculation (GGA-PBE) on an optimized crystal structure of CeDy2Cl.

Calculated values
Formation energy from raw total energies (eV/atom): -0.63
DOS(E_F) (states/eV/cell): 16.5
Total magnetic moment (μB per formula unit): 0.9
Uncorrected energy (eV per cell): -58.5

Cell and atoms, written as CIF:
```
data_CeDy2Cl
_chemical_formula_sum 'Ce3 Dy6 Cl3'
_cell_length_a 3.5742
_cell_length_b 3.5742
_cell_length_c 29.5902
_cell_angle_alpha 90.00
_cell_angle_beta 90.00
_cell_angle_gamma 120.00
_space_group_name_H-M_alt 'R -3 m'
_space_group_IT_number 166
_space_group_name_Hall '-R 3 2"'
loop_
_atom_site_label
_atom_site_fract_x
_atom_site_fract_y
_atom_site_fract_z
_atom_site_occupancy
Ce1 0.0000 0.0000 0.0000 1
Dy1 0.0000 0.0000 0.2403 1
Cl1 0.0000 0.0000 0.5000 1
```



(10)
VASP calculation (GGA-PBE) on an optimized crystal structure of Ir2RuW.

Calculated values
Offset from the most stable computed form (eV per formula unit): 0.10
DFT formation energy (eV/atom): -0.240
DOS(E_F) (states/eV/cell): 7.1
Total magnetic moment (μB per formula unit): 0.0
Uncorrected energy (eV per cell): -163.7

Cell and atoms, written as CIF:
```
data_Ir2RuW
_chemical_formula_sum 'Ir8 Ru4 W4'
_cell_length_a 5.4969
_cell_length_b 9.6689
_cell_length_c 4.4145
_cell_angle_alpha 90.00
_cell_angle_beta 90.00
_cell_angle_gamma 90.00
_space_group_name_H-M_alt 'C m c m'
_space_group_IT_number 63
_space_group_name_Hall '-C 2c 2'
loop_
_atom_site_label
_atom_site_fract_x
_atom_site_fract_y
_atom_site_fract_z
_atom_site_occupancy
Ir1 0.2443 0.1647 0.2500 1
Ru1 0.0000 0.0824 0.7500 1
W1 0.0000 0.4132 0.2500 1
```



Question: Which of these has the highest uncorrected energy?
Answer: BeHgS2



Question: uncorrected energy of number 1 (KTl5Hg4)?
Answer: -29.4 eV per cell